# 1
FeSbAu2N | the Alexandria database | GGA-PBEsol | relaxed; SG = P4/mmm, No. 123; total magnetization = 0.18 μB/atom; ΔE_f (raw) = 362.3 meV per atom
1.0
-0.5354 2.4039 2.2868
-3.7363 -2.6891 1.9520
3.2261 -2.2314 3.1009
Sb N Au Fe
1 1 2 1
Direct
0.5000 0.5000 0.5000
0.5000 0.0000 0.0000
0.0000 0.0000 0.5000
0.0000 0.5000 0.0000
0.0000 0.0000 0.0000

# 2
Na2ZrCo | the Alexandria database | GGA-PBEsol | relaxed; SG = I-42d, No. 122; DFT formation energy = 55.65 kJ/mol of atoms; total magnetization = 0.00 μB/atom
1.0
3.6547 0.0000 0.0000
0.0000 3.6547 0.0000
-1.8273 -1.8273 11.5229
Na Co Zr
4 2 2
Direct
0.3947 0.8750 0.2500
0.6250 0.6053 0.7500
0.8553 0.3750 0.2500
0.1250 0.1447 0.7500
0.7500 0.2500 0.5000
0.5000 0.5000 0.0000
0.2500 0.7500 0.5000
0.0000 0.0000 0.0000

# 3
ZnCd2Br | the Alexandria database | GGA-PBEsol | relaxed; SG = Cmmm, No. 65; total magnetization = 0.00 μB/atom; excess energy over the best structure of this formula in the dataset = 0.653 eV/f.u.; ΔE_f (raw) = 52.9 meV per atom
1.0
-1.8580 -1.7035 -2.6802
4.3712 -0.9257 -2.4420
-1.1443 -3.7900 3.2022
Br Cd Zn
1 2 1
Direct
0.5000 0.5000 0.5000
0.0000 0.5000 0.0000
0.0000 0.0000 0.5000
0.5000 0.0000 0.0000

no.,uncorrected energy (eV/atom)
1,-5.62
2,-4.33
3,-1.41